#i
MgZn2Cu3: relaxed, PBE.

```
data_MgZn2Cu3
_space_group_name_H-M_alt 'P 63/m m c'
_space_group_IT_number 194
_space_group_name_Hall '-P 6c 2c'
_cell_length_a 4.2678
_cell_length_b 4.2678
_cell_length_c 10.6673
_cell_angle_alpha 90.00
_cell_angle_beta 90.00
_cell_angle_gamma 120.00
loop_
_atom_site_label
_atom_site_type_symbol
_atom_site_fract_x
_atom_site_fract_y
_atom_site_fract_z
Mg1 Mg 0.0000 0.0000 0.2500
Zn1 Zn 0.3333 0.6667 0.1035
Cu1 Cu 0.0000 0.0000 0.0000
Cu2 Cu 0.3333 0.6667 0.6308
```

Output
Total magnetization in μB/f.u.: 0.000

#ii
MgZn2Cu3: relaxed, PBE.

```
data_MgZn2Cu3
_space_group_name_H-M_alt 'C m c m'
_space_group_IT_number 63
_space_group_name_Hall '-C 2c 2'
_cell_length_a 8.1620
_cell_length_b 8.7879
_cell_length_c 4.9712
_cell_angle_alpha 90.00
_cell_angle_beta 90.00
_cell_angle_gamma 90.00
loop_
_atom_site_label
_atom_site_type_symbol
_atom_site_fract_x
_atom_site_fract_y
_atom_site_fract_z
Mg1 Mg 0.0000 0.2246 0.2500
Zn1 Zn 0.2244 0.0000 0.0000
Cu1 Cu 0.0000 0.4737 0.7500
Cu2 Cu 0.1690 0.2459 0.7500
```

Output
Total magnetization in μB/f.u.: 0.000

Most stable to least stable, the ends of the list are #i and #ii.

#i
MgZn2Cu2: relaxed, PBE.

```
data_MgZn2Cu2
_space_group_name_H-M_alt 'C 1 2/m 1'
_space_group_IT_number 12
_cell_length_a 7.4552
_cell_length_b 4.3102
_cell_length_c 5.0757
_cell_angle_alpha 90.00
_cell_angle_beta 119.09
_cell_angle_gamma 90.00
loop_
_space_group_symop_operation_xyz
'x,y,z'
'-x,-y,-z'
'-x,y,-z'
'x,-y,z'
'x+1/2,y+1/2,z'
'-x+1/2,-y+1/2,-z'
'-x+1/2,y+1/2,-z'
'x+1/2,-y+1/2,z'
loop_
_atom_site_label
_atom_site_type_symbol
_atom_site_fract_x
_atom_site_fract_y
_atom_site_fract_z
Mg1 Mg 0.0000 0.0000 0.0000
Zn1 Zn 0.2114 0.0000 0.6333
Cu1 Cu 0.0932 0.5000 0.7784
```

Output
Total magnetization in μB/f.u.: 0.000

#ii
MgZn2Cu2: relaxed, PBE.

```
data_MgZn2Cu2
_space_group_name_H-M_alt 'C 1 2/c 1'
_space_group_IT_number 15
_cell_length_a 9.0133
_cell_length_b 4.8287
_cell_length_c 7.0744
_cell_angle_alpha 90.00
_cell_angle_beta 111.38
_cell_angle_gamma 90.00
loop_
_space_group_symop_operation_xyz
'x,y,z'
'-x,-y,-z'
'-x,y,-z+1/2'
'x,-y,z+1/2'
'x+1/2,y+1/2,z'
'-x+1/2,-y+1/2,-z'
'-x+1/2,y+1/2,-z+1/2'
'x+1/2,-y+1/2,z+1/2'
loop_
_atom_site_label
_atom_site_type_symbol
_atom_site_fract_x
_atom_site_fract_y
_atom_site_fract_z
Mg1 Mg 0.0000 0.1412 0.2500
Zn1 Zn 0.1108 0.3549 0.9558
Cu1 Cu 0.1982 0.1876 0.6506
```

Output
Total magnetization in μB/f.u.: 0.000

#iii
MgZn2Cu2: relaxed, PBE.

```
data_MgZn2Cu2
_space_group_name_H-M_alt 'C m m m'
_space_group_IT_number 65
_space_group_name_Hall '-C 2 2'
_cell_length_a 4.2872
_cell_length_b 12.8393
_cell_length_c 2.7981
_cell_angle_alpha 90.00
_cell_angle_beta 90.00
_cell_angle_gamma 90.00
loop_
_atom_site_label
_atom_site_type_symbol
_atom_site_fract_x
_atom_site_fract_y
_atom_site_fract_z
Mg1 Mg 0.0000 0.0000 0.0000
Zn1 Zn 0.0000 0.1987 0.5000
Cu1 Cu 0.0000 0.4034 0.5000
```

Output
Total magnetization in μB/f.u.: 0.000

#iv
MgZn2Cu2: relaxed, PBE.

```
data_MgZn2Cu2
_space_group_name_H-M_alt 'I 4/m m m'
_space_group_IT_number 139
_space_group_name_Hall '-I 4 2'
_cell_length_a 3.6090
_cell_length_b 3.6090
_cell_length_c 24.0895
_cell_angle_alpha 90.00
_cell_angle_beta 90.00
_cell_angle_gamma 90.00
loop_
_atom_site_label
_atom_site_type_symbol
_atom_site_fract_x
_atom_site_fract_y
_atom_site_fract_z
Mg1 Mg 0.0000 0.0000 0.1297
Zn1 Zn 0.0000 0.0000 0.4267
Zn2 Zn 0.0000 0.5000 0.2500
Cu1 Cu 0.0000 0.0000 0.3257
Cu2 Cu 0.0000 0.5000 0.0000
```

Output
Total magnetization in μB/f.u.: 0.000

Most stable to least stable, the ends of the list are #i and #iii.

#i
MgZn4Cu: relaxed, PBE.

```
data_MgZn4Cu
_space_group_name_H-M_alt 'P m m a'
_space_group_IT_number 51
_cell_length_a 7.8194
_cell_length_b 3.7432
_cell_length_c 6.6119
_cell_angle_alpha 90.00
_cell_angle_beta 90.00
_cell_angle_gamma 90.00
loop_
_space_group_symop_operation_xyz
'x,y,z'
'-x,-y,-z'
'-x+1/2,-y,z'
'x+1/2,y,-z'
'x+1/2,-y,-z'
'-x+1/2,y,z'
'-x,y,-z'
'x,-y,z'
loop_
_atom_site_label
_atom_site_type_symbol
_atom_site_fract_x
_atom_site_fract_y
_atom_site_fract_z
Mg1 Mg 0.2500 0.0000 0.1141
Zn1 Zn 0.0000 0.0000 0.5000
Zn2 Zn 0.0474 0.5000 0.8118
Zn3 Zn 0.2500 0.5000 0.4434
Cu1 Cu 0.2500 0.0000 0.7187
```

Output
Total magnetization in μB/f.u.: 0.000

#ii
MgZn4Cu: relaxed, PBE.

```
data_MgZn4Cu
_space_group_name_H-M_alt 'P m m a'
_space_group_IT_number 51
_cell_length_a 9.0003
_cell_length_b 2.6749
_cell_length_c 7.8105
_cell_angle_alpha 90.00
_cell_angle_beta 90.00
_cell_angle_gamma 90.00
loop_
_space_group_symop_operation_xyz
'x,y,z'
'-x,-y,-z'
'-x+1/2,-y,z'
'x+1/2,y,-z'
'x+1/2,-y,-z'
'-x+1/2,y,z'
'-x,y,-z'
'x,-y,z'
loop_
_atom_site_label
_atom_site_type_symbol
_atom_site_fract_x
_atom_site_fract_y
_atom_site_fract_z
Mg1 Mg 0.2500 0.0000 0.2266
Zn1 Zn 0.0000 0.0000 0.0000
Zn2 Zn 0.0097 0.5000 0.6676
Zn3 Zn 0.2500 0.5000 0.8827
Cu1 Cu 0.2500 0.0000 0.5833
```

Output
Total magnetization in μB/f.u.: 0.000

#iii
MgZn4Cu: relaxed, PBE.

```
data_MgZn4Cu
_space_group_name_H-M_alt 'P m m a'
_space_group_IT_number 51
_cell_length_a 8.4918
_cell_length_b 2.9599
_cell_length_c 7.3168
_cell_angle_alpha 90.00
_cell_angle_beta 90.00
_cell_angle_gamma 90.00
loop_
_space_group_symop_operation_xyz
'x,y,z'
'-x,-y,-z'
'-x+1/2,-y,z'
'x+1/2,y,-z'
'x+1/2,-y,-z'
'-x+1/2,y,z'
'-x,y,-z'
'x,-y,z'
loop_
_atom_site_label
_atom_site_type_symbol
_atom_site_fract_x
_atom_site_fract_y
_atom_site_fract_z
Mg1 Mg 0.2500 0.0000 0.0487
Zn1 Zn 0.0000 0.0000 0.5000
Zn2 Zn 0.0259 0.5000 0.8170
Zn3 Zn 0.2500 0.5000 0.3827
Cu1 Cu 0.2500 0.0000 0.6823
```

Output
Total magnetization in μB/f.u.: 0.000

Most stable to least stable, the ends of the list are #iii and #ii.